9
Lattice="-1.817 2.738 5.596 1.817 -2.738 5.596 1.817 2.738 -5.596" Properties=species:S:1:pos:R:3 comment="Ca2PmCoO5 GGA+U optimized geometry" dft_energy_ev_per_cell=-60.471 volume_a3_per_cell=111.4 sg="Immm (71)" rho_g_cm3=5.429 pbc="T T T"
Ca 0.000 0.000 2.286
Ca 0.000 0.000 8.905
Pm 0.000 2.738 0.000
Co 1.817 0.000 0.000
O 0.000 0.000 0.000
O 1.817 1.402 -1.384
O 1.817 1.402 1.384
O 0.000 1.336 4.212
O 0.000 1.336 6.979